Below is an optimized crystal structure of NaInPCl2, with properties calculated at the PBE level.

Values from the calculation:
- E above lowest polymorph (eV per atom) = 0.000
- E_tot (eV for the cell shown) = -15.4
- density (g/cm³) = 2.69
- spin magnetization (μB/f.u.) = 1.27

Cell and atoms, written as POSCAR:
```
NaInPCl2
1.0
5.400 0.000 0.000
0.000 5.400 0.000
0.000 0.000 5.078
In Cl P Na
1 2 1 1
Cartesian
0.000 0.000 0.000
0.000 2.700 0.000
2.700 0.000 0.000
0.000 0.000 2.539
2.700 2.700 2.539
```



Below is an optimized crystal structure of TaRh3Pb, with properties calculated at the PBE level.

Values from the calculation:
- E above lowest polymorph (eV per atom) = 0.000
- E_tot (eV for the cell shown) = -34.5
- density (g/cm³) = 10.54
- formation energy from the elements (meV per atom) = 632
- spin magnetization (μB/f.u.) = 0.00

Cell and atoms, written as POSCAR:
```
TaRh3Pb
1.0
-1.914 -0.195 4.385
-2.879 -3.555 -1.415
3.313 -3.202 1.304
Rh Ta Pb
3 1 1
Cartesian
1.657 -1.601 0.652
-0.957 -0.097 2.192
-1.439 -1.778 -0.707
0.000 0.000 0.000
-0.740 -3.476 2.137
```



Below is an optimized crystal structure of Pr3Er2PuSe6, with properties calculated at the PBE level.

Values from the calculation:
- E_tot (eV for the cell shown) = -79.8
- density (g/cm³) = 7.96
- spin magnetization (μB/f.u.) = 5.81

Cell and atoms, written as POSCAR:
```
Pr3Er2PuSe6
1.0
-3.984 -2.805 -5.250
6.304 -2.954 1.686
-3.929 -2.191 5.780
Er Se Pr Pu
2 6 3 1
Cartesian
2.882 -2.905 -0.621
-0.562 -2.855 -2.943
-3.006 -5.989 0.572
0.804 -4.758 -1.296
-2.414 -3.192 3.511
0.477 -6.040 2.920
-2.086 -1.910 -0.704
1.397 -1.961 1.644
2.642 -4.025 3.431
-0.805 -3.975 1.108
-4.251 -3.925 -1.216
0.000 0.000 0.000
```



Below is an optimized crystal structure of Zr2CrS6, with properties calculated at the PBE level.

Values from the calculation:
- E_tot (eV for the cell shown) = -61.3
- density (g/cm³) = 4.24
- spin magnetization (μB/f.u.) = 2.81

Cell and atoms, written as POSCAR:
```
Zr2CrS6
1.0
3.529 0.000 0.000
1.765 5.543 1.321
1.765 3.812 9.464
Zr S Cr
2 6 1
Cartesian
3.529 6.854 8.117
3.529 2.501 2.667
5.294 5.000 7.731
3.529 6.352 5.382
3.529 3.002 5.403
1.765 4.354 3.054
1.765 1.603 1.006
5.294 7.751 9.779
1.765 4.677 5.392
```



Below is an optimized crystal structure of B2C, with properties calculated at the PBE level.

Values from the calculation:
- E above lowest polymorph (eV per atom) = 0.154
- E_tot (eV for the cell shown) = -86.2
- density (g/cm³) = 2.59
- formation energy from the elements (meV per atom) = 339
- spin magnetization (μB/f.u.) = 0.00

Cell and atoms, written as POSCAR:
```
B2C
1.0
1.374 4.428 -0.036
-1.374 4.428 -0.036
0.000 3.151 7.060
C B
4 8
Cartesian
0.000 3.204 3.746
0.000 3.917 2.494
0.000 9.608 4.853
0.000 7.180 6.126
0.000 8.374 1.588
0.000 5.498 2.255
0.000 7.985 4.686
0.000 11.721 6.852
0.000 1.659 3.655
0.000 1.260 1.060
0.000 6.667 0.975
0.000 5.757 5.404
```



Below is an optimized crystal structure of TlHgH, with properties calculated at the PBE level.

Values from the calculation:
- E above lowest polymorph (eV per atom) = 0.287
- E_tot (eV for the cell shown) = -5.1
- density (g/cm³) = 9.71
- spin magnetization (μB/f.u.) = 0.00

Cell and atoms, written as POSCAR:
```
TlHgH
1.0
3.377 0.000 0.000
0.000 3.377 0.000
-1.689 -1.689 6.089
H Tl Hg
1 1 1
Cartesian
0.000 0.000 3.463
1.689 1.689 2.729
1.689 1.689 5.987
```